[1]
# Tl5Te2F12 (PBE, relaxed)
# * formation energy (no corrections): -34.42 eV per formula unit
# * spin magnetization: 0.00 Bohr magnetons per cell
data_Tl5Te2F12
_symmetry_space_group_name_H-M 'P 1'
_symmetry_Int_Tables_number 1
_cell_length_a 8.6296
_cell_length_b 8.6296
_cell_length_c 6.8787
_cell_angle_alpha 112.30
_cell_angle_beta 112.30
_cell_angle_gamma 55.54
loop_
_symmetry_equiv_pos_as_xyz
'x,y,z'
loop_
_atom_site_label
_atom_site_fract_x
_atom_site_fract_y
_atom_site_fract_z
Tl1 0.0000 0.0000 0.0000
Tl2 0.2499 0.2499 0.4241
Tl3 0.2697 0.2697 0.9350
Tl4 0.7303 0.7303 0.0650
Tl5 0.7501 0.7501 0.5759
Te1 0.2532 0.7468 0.5000
Te2 0.7468 0.2532 0.5000
F1 0.0642 0.0642 0.4420
F2 0.0882 0.6962 0.1852
F3 0.1983 0.5938 0.6198
F4 0.3038 0.9118 0.8148
F5 0.4062 0.8017 0.3802
F6 0.4343 0.4343 0.3227
F7 0.5657 0.5657 0.6773
F8 0.5938 0.1983 0.6198
F9 0.6962 0.0882 0.1852
F10 0.8017 0.4062 0.3802
F11 0.9118 0.3038 0.8148
F12 0.9358 0.9358 0.5580



[2]
# Pm3ZnHg2Rh3 (PBE, relaxed)
# * formation enthalpy at 0 K: -4.5 eV/f.u.
# * spin magnetization: 0.00 Bohr magnetons per cell
data_Pm3ZnHg2Rh3
_symmetry_space_group_name_H-M 'P 1'
_symmetry_Int_Tables_number 1
_cell_length_a 7.6956
_cell_length_b 7.6956
_cell_length_c 3.7762
_cell_angle_alpha 90.00
_cell_angle_beta 90.00
_cell_angle_gamma 120.00
loop_
_symmetry_equiv_pos_as_xyz
'x,y,z'
loop_
_atom_site_label
_atom_site_fract_x
_atom_site_fract_y
_atom_site_fract_z
Pm1 0.0000 0.3649 0.0000
Pm2 0.3649 0.0000 0.0000
Pm3 0.6351 0.6351 0.0000
Zn1 0.0000 0.0000 0.0000
Hg1 0.3333 0.6667 0.5000
Hg2 0.6667 0.3333 0.5000
Rh1 0.0000 0.7662 0.5000
Rh2 0.2338 0.2338 0.5000
Rh3 0.7662 0.0000 0.5000